# 1
VASP calculation (GGA-PBE) on a relaxed Ba2NbS5 crystal.

Uncorrected formation energy, eV/atom: -1.33

a = 7.1265 Å, b = 7.1281 Å, c = 6.7643 Å
α = 121.80°, β = 121.79°, γ = 90.00°
Sites, in units of the cell vectors:
1 S 0.2546 0.2546 0.0395
2 S 0.2546 0.7849 0.0395
3 S 0.7155 0.7155 0.4310
4 S 0.7849 0.2546 0.0395
5 S 0.7849 0.7849 0.0395
6 Nb 0.9614 0.9614 0.9229
7 Ba 0.2605 0.7605 0.5210
8 Ba 0.7605 0.2605 0.5211

# 2
VASP calculation (GGA-PBE) on a relaxed Ba2Nb2S crystal.

Offset from the most stable computed form, meV/atom: 337
Uncorrected formation energy, eV/atom: 0.60

a = 6.6626 Å, b = 6.6626 Å, c = 5.9495 Å
α = 55.95°, β = 55.95°, γ = 90.00°
Sites, in units of the cell vectors:
1 Nb 0.6532 0.6532 0.6936
2 Nb 0.3468 0.3468 0.3064
3 Ba 0.2500 0.7500 0.5000
4 Ba 0.7500 0.2500 0.5000
5 S 0.0000 0.0000 0.0000

# 3
VASP calculation (GGA-PBE) on a relaxed BaNbS4 crystal.

Offset from the most stable computed form, meV/atom: 0
Uncorrected formation energy, eV/atom: -1.16

a = 6.1005 Å, b = 7.4646 Å, c = 7.9272 Å
α = 61.91°, β = 87.74°, γ = 85.19°
Sites, in units of the cell vectors:
1 Nb 0.7500 0.9620 0.0761
2 Nb 0.2500 0.0380 0.9239
3 S 0.1279 0.1171 0.5876
4 S 0.5808 0.8180 0.9065
5 S 0.4192 0.1820 0.0935
6 S 0.8721 0.8829 0.4124
7 S 0.9192 0.2755 0.9065
8 S 0.3721 0.2953 0.5876
9 S 0.6279 0.7047 0.4124
10 S 0.0808 0.7245 0.0935
11 Ba 0.2500 0.6332 0.7336
12 Ba 0.7500 0.3668 0.2664

# 4
VASP calculation (GGA-PBE) on a relaxed Ba2Nb2S5 crystal.

Uncorrected formation energy, eV/atom: -1.32

a = 4.9123 Å, b = 7.1247 Å, c = 7.6463 Å
α = 108.32°, β = 90.00°, γ = 110.17°
Sites, in units of the cell vectors:
1 S 0.3539 0.7079 0.0887
2 S 0.0000 0.0000 0.0000
3 S 0.8484 0.6967 0.4120
4 S 0.6461 0.2921 0.9113
5 S 0.1516 0.3033 0.5880
6 Nb 0.1708 0.3417 0.9080
7 Nb 0.8292 0.6583 0.0920
8 Ba 0.5998 0.1997 0.3036
9 Ba 0.4002 0.8003 0.6964

# 5
VASP calculation (GGA-PBE) on a relaxed Ba2NbS crystal.

Uncorrected formation energy, eV/atom: -0.21

a = 11.8055 Å, b = 11.8055 Å, c = 8.6791 Å
α = 47.15°, β = 47.15°, γ = 90.00°
Last column: magnetic moment on the atom in μB.
Sites, in units of the cell vectors:
1 Ba 0.8750 0.7077 0.7500  0.02
2 Ba 0.3750 0.5423 0.7500  0.02
3 Ba 0.2923 0.6250 0.2500  0.03
4 Ba 0.4577 0.1250 0.2500  0.03
5 S 0.5000 0.5000 0.0000  -0.06
6 S 0.2500 0.7500 0.5000  -0.06
7 Nb 0.7500 0.2500 0.5000  1.65
8 Nb 0.0000 0.0000 0.0000  1.65

# 6
VASP calculation (GGA-PBE) on a relaxed BaNb4S8 crystal.

Offset from the most stable computed form, meV/atom: 0
Uncorrected formation energy, eV/atom: -1.12

a = 3.4685 Å, b = 8.5625 Å, c = 9.2078 Å
α = 82.92°, β = 79.14°, γ = 78.31°
Sites, in units of the cell vectors:
1 S 0.8240 0.3049 0.0470
2 S 0.8857 0.6645 0.5641
3 S 0.8598 0.9961 0.2843
4 S 0.5549 0.6709 0.2193
5 S 0.2074 0.6984 0.8868
6 S 0.1457 0.3389 0.3696
7 S 0.4765 0.3325 0.7145
8 S 0.1716 0.0074 0.6494
9 Nb 0.1952 0.5020 0.1077
10 Nb 0.6692 0.1680 0.4935
11 Nb 0.8363 0.5014 0.8261
12 Nb 0.3622 0.8354 0.4402
13 Ba 0.5157 0.0017 0.9668